No. 1
CaGaHg2 (PBE, relaxed); formation energy = -0.2221 eV/atom; VASP energy = -1.63 eV per atom; symmetry = R3m, No. 160
1.0
-0.9707 -2.3071 -3.0488
2.8142 -1.4323 -2.3640
1.2542 -7.6443 2.8333
Ca Ga Hg
1 1 2
Cartesian
1.2292 -2.4943 -3.6075
1.5496 -5.6987 -1.2847
1.0773 -5.8749 1.5508
0.7906 -3.0075 -0.5278

***

No. 2
Ca2Ga2Hg (PBE, relaxed); formation energy = -0.2755 eV/atom; ΔE to the lowest computed polymorph = 189 meV/atom; VASP energy = -2.35 eV per atom; symmetry = P4/mbm, No. 127
1.0
-1.1014 4.0656 7.5909
-8.5948 -0.9897 -0.7170
0.2231 -3.2046 1.7487
Ca Hg Ga
4 2 4
Cartesian
-7.3220 0.4646 1.7858
-6.8080 2.6200 5.6700
-2.3742 2.6113 5.0882
-2.8882 0.4559 1.2039
0.0000 0.0000 0.0000
-4.8481 1.5379 3.4370
-5.1939 -1.7774 1.2305
-8.2549 -0.0337 4.8166
-4.2792 1.6486 7.3922
-1.2182 -0.0951 3.8061

***

No. 3
CaGaHg2 (PBE, relaxed); formation energy = -0.3290 eV/atom; VASP energy = -1.74 eV per atom; symmetry = Pnma, No. 62
1.0
-3.1130 -3.6365 3.4822
6.3641 -1.8207 3.7879
-1.4203 6.4863 5.5039
Ca Ga Hg
4 4 8
Cartesian
0.3439 -1.5387 2.5214
1.3894 -1.6187 8.4040
1.4868 2.5678 10.2527
0.4413 2.6477 4.3700
-0.9246 -0.0996 5.3444
4.2526 -1.1950 3.7973
2.7554 1.1287 7.4297
-2.4218 2.2241 8.9767
-2.6560 -1.9850 4.1138
4.5695 -0.9620 6.6102
1.8067 3.7808 7.0651
-0.0587 1.2243 7.7591
4.4868 3.0141 8.6603
-2.7387 1.9911 6.1639
0.0241 -2.7518 5.7090
1.8894 -0.1952 5.0150

***

Q: Which formula does entry 2 have?
A: Ca2Ga2Hg